## w
Computed, not measured: a geometry-optimized VInTeI2 structure at the PBE-GGA level of DFT.

Output
- M_tot (μB/f.u.) = 3.4
- density of states at the Fermi level (states/eV per cell) = 3.77

```
data_VInTeI2
_symmetry_space_group_name_H-M 'P 4/m m m'
_symmetry_Int_Tables_number 123
_symmetry_space_group_name_Hall '-P 4 2'
_cell_length_a 5.8247
_cell_length_b 5.8247
_cell_length_c 5.8344
_cell_angle_alpha 90.00
_cell_angle_beta 90.00
_cell_angle_gamma 90.00
loop_
_atom_site_label
_atom_site_fract_x
_atom_site_fract_y
_atom_site_fract_z
V1 0.0000 0.0000 0.0000
In1 0.5000 0.5000 0.5000
Te1 0.5000 0.5000 0.0000
I1 0.0000 0.5000 0.5000
```

## x
Computed, not measured: a geometry-optimized VInTeI2 structure at the PBE-GGA level of DFT.

Output
- M_tot (μB/f.u.) = 0.1
- density of states at the Fermi level (states/eV per cell) = 7.81

```
data_VInTeI2
_symmetry_space_group_name_H-M 'P 4/m m m'
_symmetry_Int_Tables_number 123
_symmetry_space_group_name_Hall '-P 4 2'
_cell_length_a 5.7139
_cell_length_b 5.7139
_cell_length_c 5.3178
_cell_angle_alpha 90.00
_cell_angle_beta 90.00
_cell_angle_gamma 90.00
loop_
_atom_site_label
_atom_site_fract_x
_atom_site_fract_y
_atom_site_fract_z
V1 0.0000 0.0000 0.0000
In1 0.5000 0.5000 0.5000
Te1 0.0000 0.0000 0.5000
I1 0.0000 0.5000 0.0000
```

It comes down to x, which is 0.576 eV/atom more stable than the next structure.

## w
Computed, not measured: a geometry-optimized InTe2WI structure at the PBE-GGA level of DFT.

Output
- M_tot (μB/f.u.) = 3.8
- density of states at the Fermi level (states/eV per cell) = 4.14

```
data_InTe2WI
_symmetry_space_group_name_H-M 'P 4/m m m'
_symmetry_Int_Tables_number 123
_symmetry_space_group_name_Hall '-P 4 2'
_cell_length_a 5.7117
_cell_length_b 5.7117
_cell_length_c 5.6044
_cell_angle_alpha 90.00
_cell_angle_beta 90.00
_cell_angle_gamma 90.00
loop_
_atom_site_label
_atom_site_fract_x
_atom_site_fract_y
_atom_site_fract_z
In1 0.0000 0.0000 0.0000
Te1 0.0000 0.5000 0.0000
W1 0.5000 0.5000 0.5000
I1 0.0000 0.0000 0.5000
```

## x
Computed, not measured: a geometry-optimized InTe2WI structure at the PBE-GGA level of DFT.

Output
- M_tot (μB/f.u.) = 0.6
- density of states at the Fermi level (states/eV per cell) = 5.98

```
data_InTe2WI
_symmetry_space_group_name_H-M 'P 4/m m m'
_symmetry_Int_Tables_number 123
_symmetry_space_group_name_Hall '-P 4 2'
_cell_length_a 5.2894
_cell_length_b 5.2894
_cell_length_c 5.9504
_cell_angle_alpha 90.00
_cell_angle_beta 90.00
_cell_angle_gamma 90.00
loop_
_atom_site_label
_atom_site_fract_x
_atom_site_fract_y
_atom_site_fract_z
In1 0.0000 0.0000 0.0000
Te1 0.0000 0.5000 0.5000
W1 0.5000 0.5000 0.5000
I1 0.5000 0.5000 0.0000
```

It comes down to x, which is 1.052 eV/atom more stable than the next structure.

## w
Computed, not measured: a geometry-optimized ZnInTe2I structure at the PBE-GGA level of DFT.

Output
- M_tot (μB/f.u.) = 0.0
- density of states at the Fermi level (states/eV per cell) = 3.93

```
data_ZnInTe2I
_symmetry_space_group_name_H-M 'P 4/m m m'
_symmetry_Int_Tables_number 123
_symmetry_space_group_name_Hall '-P 4 2'
_cell_length_a 5.3290
_cell_length_b 5.3290
_cell_length_c 5.9234
_cell_angle_alpha 90.00
_cell_angle_beta 90.00
_cell_angle_gamma 90.00
loop_
_atom_site_label
_atom_site_fract_x
_atom_site_fract_y
_atom_site_fract_z
Zn1 0.0000 0.0000 0.0000
In1 0.5000 0.5000 0.5000
Te1 0.0000 0.5000 0.0000
I1 0.0000 0.0000 0.5000
```

## x
Computed, not measured: a geometry-optimized ZnInTe2I structure at the PBE-GGA level of DFT.

Output
- M_tot (μB/f.u.) = 0.0
- density of states at the Fermi level (states/eV per cell) = 7.36

```
data_ZnInTe2I
_symmetry_space_group_name_H-M 'P 4/m m m'
_symmetry_Int_Tables_number 123
_symmetry_space_group_name_Hall '-P 4 2'
_cell_length_a 5.7494
_cell_length_b 5.7494
_cell_length_c 5.8954
_cell_angle_alpha 90.00
_cell_angle_beta 90.00
_cell_angle_gamma 90.00
loop_
_atom_site_label
_atom_site_fract_x
_atom_site_fract_y
_atom_site_fract_z
Zn1 0.0000 0.0000 0.0000
In1 0.5000 0.5000 0.5000
Te1 0.0000 0.5000 0.5000
I1 0.5000 0.5000 0.0000
```

It comes down to w, which is 0.322 eV/atom more stable than the next structure.

## w
Computed, not measured: a geometry-optimized ZrInTeI2 structure at the PBE-GGA level of DFT.

Output
- M_tot (μB/f.u.) = 2.2
- density of states at the Fermi level (states/eV per cell) = 4.96

```
data_ZrInTeI2
_symmetry_space_group_name_H-M 'P 4/m m m'
_symmetry_Int_Tables_number 123
_symmetry_space_group_name_Hall '-P 4 2'
_cell_length_a 5.7580
_cell_length_b 5.7580
_cell_length_c 5.7917
_cell_angle_alpha 90.00
_cell_angle_beta 90.00
_cell_angle_gamma 90.00
loop_
_atom_site_label
_atom_site_fract_x
_atom_site_fract_y
_atom_site_fract_z
Zr1 0.0000 0.0000 0.0000
In1 0.5000 0.5000 0.5000
Te1 0.5000 0.5000 0.0000
I1 0.0000 0.5000 0.5000
```

## x
Computed, not measured: a geometry-optimized ZrInTeI2 structure at the PBE-GGA level of DFT.

Output
- M_tot (μB/f.u.) = 0.0
- density of states at the Fermi level (states/eV per cell) = 2.15

```
data_ZrInTeI2
_symmetry_space_group_name_H-M 'P 4/m m m'
_symmetry_Int_Tables_number 123
_symmetry_space_group_name_Hall '-P 4 2'
_cell_length_a 5.8020
_cell_length_b 5.8020
_cell_length_c 5.6673
_cell_angle_alpha 90.00
_cell_angle_beta 90.00
_cell_angle_gamma 90.00
loop_
_atom_site_label
_atom_site_fract_x
_atom_site_fract_y
_atom_site_fract_z
Zr1 0.0000 0.0000 0.0000
In1 0.5000 0.5000 0.5000
Te1 0.0000 0.0000 0.5000
I1 0.0000 0.5000 0.0000
```

It comes down to x, which is 0.923 eV/atom more stable than the next structure.

## w
Computed, not measured: a geometry-optimized ThInI6 structure at the PBE-GGA level of DFT.

Output
- M_tot (μB/f.u.) = 0.0
- density of states at the Fermi level (states/eV per cell) = 8.34

```
data_ThInI6
_symmetry_space_group_name_H-M 'C 1 2/m 1'
_symmetry_Int_Tables_number 12
_symmetry_space_group_name_Hall '-C 2y'
_cell_length_a 8.0407
_cell_length_b 13.7749
_cell_length_c 7.8876
_cell_angle_alpha 90.00
_cell_angle_beta 95.49
_cell_angle_gamma 90.00
loop_
_atom_site_label
_atom_site_fract_x
_atom_site_fract_y
_atom_site_fract_z
Th1 0.0000 0.0000 0.0000
In1 0.0000 0.0000 0.5000
I1 0.1525 0.1534 0.7746
I2 0.1951 0.5000 0.7310
```

## x
Computed, not measured: a geometry-optimized ThInI6 structure at the PBE-GGA level of DFT.

Output
- M_tot (μB/f.u.) = 0.0
- density of states at the Fermi level (states/eV per cell) = 14.77

```
data_ThInI6
_symmetry_space_group_name_H-M 'R -3'
_symmetry_Int_Tables_number 148
_symmetry_space_group_name_Hall '-R 3'
_cell_length_a 7.7783
_cell_length_b 7.7783
_cell_length_c 21.1586
_cell_angle_alpha 90.00
_cell_angle_beta 90.00
_cell_angle_gamma 120.00
loop_
_atom_site_label
_atom_site_fract_x
_atom_site_fract_y
_atom_site_fract_z
Th1 0.0000 0.0000 0.0000
In1 0.0000 0.0000 0.5000
I1 0.0003 0.3250 0.9166
```

It comes down to w, which is 0.019 eV/atom more stable than the next structure.

## w
Computed, not measured: a geometry-optimized TiInI3 structure at the PBE-GGA level of DFT.

Output
- M_tot (μB/f.u.) = 2.0
- density of states at the Fermi level (states/eV per cell) = 6.84

```
data_TiInI3
_symmetry_space_group_name_H-M 'P m -3 m'
_symmetry_Int_Tables_number 221
_symmetry_space_group_name_Hall '-P 4 2 3'
_cell_length_a 5.7135
_cell_length_b 5.7135
_cell_length_c 5.7135
_cell_angle_alpha 90.00
_cell_angle_beta 90.00
_cell_angle_gamma 90.00
loop_
_atom_site_label
_atom_site_fract_x
_atom_site_fract_y
_atom_site_fract_z
Ti1 0.0000 0.0000 0.0000
In1 0.5000 0.5000 0.5000
I1 0.0000 0.0000 0.5000
```

## x
Computed, not measured: a geometry-optimized TiInI3 structure at the PBE-GGA level of DFT.

Output
- M_tot (μB/f.u.) = 0.3
- density of states at the Fermi level (states/eV per cell) = 27.86

```
data_TiInI3
_symmetry_space_group_name_H-M 'P m -3 m'
_symmetry_Int_Tables_number 221
_symmetry_space_group_name_Hall '-P 4 2 3'
_cell_length_a 5.9717
_cell_length_b 5.9717
_cell_length_c 5.9717
_cell_angle_alpha 90.00
_cell_angle_beta 90.00
_cell_angle_gamma 90.00
loop_
_atom_site_label
_atom_site_fract_x
_atom_site_fract_y
_atom_site_fract_z
Ti1 0.0000 0.0000 0.0000
In1 0.5000 0.5000 0.5000
I1 0.0000 0.5000 0.5000
```

It comes down to w, which is 0.949 eV/atom more stable than the next structure.

## w
Computed, not measured: a geometry-optimized Ti2InI6 structure at the PBE-GGA level of DFT.

Output
- M_tot (μB/f.u.) = 3.0
- density of states at the Fermi level (states/eV per cell) = 41.25

```
data_Ti2InI6
_symmetry_space_group_name_H-M 'C 1 2/c 1'
_symmetry_Int_Tables_number 15
_symmetry_space_group_name_Hall '-C 2yc'
_cell_length_a 15.5918
_cell_length_b 14.5032
_cell_length_c 7.8140
_cell_angle_alpha 90.00
_cell_angle_beta 101.18
_cell_angle_gamma 90.00
loop_
_atom_site_label
_atom_site_fract_x
_atom_site_fract_y
_atom_site_fract_z
Ti1 0.2011 0.0789 0.2841
In1 0.0000 0.3859 0.2500
I1 0.1240 0.2216 0.1053
I2 0.1242 0.4120 0.6648
I3 0.1451 0.0761 0.5967
```

## x
Computed, not measured: a geometry-optimized Ti2InI6 structure at the PBE-GGA level of DFT.

Output
- M_tot (μB/f.u.) = 3.0
- density of states at the Fermi level (states/eV per cell) = 10.95

```
data_Ti2InI6
_symmetry_space_group_name_H-M 'P -3 1 m'
_symmetry_Int_Tables_number 162
_symmetry_space_group_name_Hall '-P 3 2'
_cell_length_a 7.3549
_cell_length_b 7.3549
_cell_length_c 7.6194
_cell_angle_alpha 90.00
_cell_angle_beta 90.00
_cell_angle_gamma 120.00
loop_
_atom_site_label
_atom_site_fract_x
_atom_site_fract_y
_atom_site_fract_z
Ti1 0.3333 0.6667 0.0000
In1 0.0000 0.0000 0.5000
I1 0.0000 0.3674 0.2141
```

It comes down to x, which is 0.102 eV/atom more stable than the next structure.

## w
Computed, not measured: a geometry-optimized Tl2InI4 structure at the PBE-GGA level of DFT.

Output
- M_tot (μB/f.u.) = 0.0
- density of states at the Fermi level (states/eV per cell) = 5.15

```
data_Tl2InI4
_symmetry_space_group_name_H-M 'C 1 2/m 1'
_symmetry_Int_Tables_number 12
_symmetry_space_group_name_Hall '-C 2y'
_cell_length_a 16.7902
_cell_length_b 4.5297
_cell_length_c 9.3045
_cell_angle_alpha 90.00
_cell_angle_beta 118.61
_cell_angle_gamma 90.00
loop_
_atom_site_label
_atom_site_fract_x
_atom_site_fract_y
_atom_site_fract_z
Tl1 0.2083 0.0000 0.1868
In1 0.0000 0.5000 0.5000
I1 0.1049 0.5000 0.8799
I2 0.1357 0.0000 0.5013
```

## x
Computed, not measured: a geometry-optimized Tl2InI4 structure at the PBE-GGA level of DFT.

Output
- M_tot (μB/f.u.) = 0.0
- density of states at the Fermi level (states/eV per cell) = 6.26

```
data_Tl2InI4
_symmetry_space_group_name_H-M 'F d d 2'
_symmetry_Int_Tables_number 43
_symmetry_space_group_name_Hall 'F 2 -2d'
_cell_length_a 15.0463
_cell_length_b 16.3191
_cell_length_c 10.4685
_cell_angle_alpha 90.00
_cell_angle_beta 90.00
_cell_angle_gamma 90.00
loop_
_atom_site_label
_atom_site_fract_x
_atom_site_fract_y
_atom_site_fract_z
Tl1 0.0367 0.2417 0.0000
In1 0.0000 0.0000 0.2635
I1 0.1214 0.1780 0.7080
I2 0.1218 0.1622 0.2920
```

It comes down to x, which is 0.010 eV/atom more stable than the next structure.